(1)
Dy2TiCd: optimized geometry, PBE.

Structure (POSCAR):
```
Dy2TiCd
1.0
0.000 3.695 3.695
3.695 0.000 3.695
3.695 3.695 0.000
Dy Ti Cd
2 1 1
Direct
0.250 0.250 0.250 Dy
0.750 0.750 0.750 Dy
0.000 0.000 0.000 Ti
0.500 0.500 0.500 Cd
```

Output
crystal system = cubic
energy above the most stable polymorph in this dataset = 78 meV per atom

---

(2)
Ir12Os3Ru: optimized geometry, PBE.

Structure (POSCAR):
```
Ir12Os3Ru
1.0
3.865 0.000 0.000
0.000 3.865 0.000
0.000 0.000 15.454
Ir Os Ru
12 3 1
Direct
0.000 0.000 0.000 Ir
0.000 0.000 0.250 Ir
0.000 0.000 0.500 Ir
0.000 0.000 0.750 Ir
0.000 0.500 0.125 Ir
0.000 0.500 0.375 Ir
0.000 0.500 0.625 Ir
0.000 0.500 0.875 Ir
0.500 0.000 0.125 Ir
0.500 0.000 0.375 Ir
0.500 0.000 0.625 Ir
0.500 0.000 0.875 Ir
0.500 0.500 0.000 Os
0.500 0.500 0.251 Os
0.500 0.500 0.749 Os
0.500 0.500 0.500 Ru
```

Output
crystal system = tetragonal

---

(3)
Li3LaZn: optimized geometry, PBE.

Structure (POSCAR):
```
Li3LaZn
1.0
5.884 0.000 0.000
0.000 5.884 0.000
0.000 0.000 5.884
Li La Zn
3 1 1
Direct
0.000 0.000 0.500 Li
0.000 0.500 0.000 Li
0.500 0.000 0.000 Li
0.000 0.000 0.000 La
0.500 0.500 0.500 Zn
```

Output
crystal system = cubic
energy above the most stable polymorph in this dataset = 1041 meV per atom

---

Let's list total moment in order: 2.49; 0.00; 2.70 μB per cell.
Let's list ΔH_f (0 K) in order: 41; 12; 1159 meV per atom.